1.
Crystalline Y2Ga9Ni3 at its relaxed geometry, computed with PBE-GGA.

As for the formation energy: -501 meV per atom. As for the total energy: -4.609 eV/atom.

Lattice parameters (Å, degrees): 12.8991 7.4418 10.4309 90.00 114.51 90.00
Last column: nearest neighbours and their distance in Å.
Space group C2/c (No. 15)
Asymmetric unit:
Y: 0.1678 0.0834 0.2512 [8 per cell]  11 Ga 3.00-3.07
Ga: 0.0000 0.3709 0.2500 [4 per cell]  2 Ni 2.55, 6 Ga 2.73-2.84
Ga: 0.0603 0.0821 0.9306 [8 per cell]  3 Ni 2.54-2.57, 5 Ga 2.76-2.81
Ga: 0.1036 0.4154 0.0590 [8 per cell]  3 Ni 2.53-2.57, 4 Ga 2.74-2.83
Ga: 0.1057 0.3115 0.7492 [8 per cell]  2 Ni 2.54-2.55, 6 Ga 2.73-2.83
Ga: 0.2269 0.4167 0.4293 [8 per cell]  3 Ni 2.54-2.58, 5 Ga 2.76-2.82
Ni: 0.0847 0.2468 0.5008 [8 per cell]  8 Ga 2.54-2.58
Ni: 0.2500 0.2500 0.0000 [4 per cell]  8 Ga 2.53-2.57

***

2.
Crystalline YZnGa2Ni at its relaxed geometry, computed with PBE-GGA.

As for the formation energy: -329 meV per atom. As for the total energy: -4.243 eV/atom.

Lattice parameters (Å, degrees): 4.5334 4.5334 4.5745 90.00 90.00 90.00
Last column: nearest neighbours and their distance in Å.
Space group P4/mmm (No. 123)
Asymmetric unit:
Y: 0.0000 0.0000 0.0000 [1 per cell]  4 Zn 3.21, 8 Ga 3.22
Zn: 0.5000 0.5000 0.0000 [1 per cell]  2 Ni 2.29
Ga: 0.0000 0.5000 0.5000 [2 per cell]  2 Ni 2.27
Ni: 0.5000 0.5000 0.5000 [1 per cell]  4 Ga 2.27, 2 Zn 2.29

***

3.
Crystalline YZn2GaNi4 at its relaxed geometry, computed with PBE-GGA.

As for the formation energy: -309 meV per atom. As for the total energy: -4.705 eV/atom.

Lattice parameters (Å, degrees): 4.1079 4.1079 23.9134 90.00 90.00 120.00
Last column: nearest neighbours and their distance in Å.
Space group R-3m (No. 166, hexagonal axes)
Asymmetric unit:
Y: 0.0000 0.0000 0.0000 [3 per cell]  8 Ni 2.90-3.09, 6 Zn 3.21
Zn: 0.0000 0.0000 0.2429 [6 per cell]  6 Ni 2.42-2.55
Ga: 0.0000 0.0000 0.5000 [3 per cell]  8 Ni 2.32-2.54
Ni: 0.0000 0.0000 0.1292 [6 per cell]  3 Ga 2.54, 4 Zn 2.55-2.72, 3 Ni 2.77
Ni: 0.0000 0.0000 0.4030 [6 per cell]  1 Ga 2.32, 3 Zn 2.42

***

4.
Crystalline YZnGa2Ni2 at its relaxed geometry, computed with PBE-GGA.

As for the formation energy: -204 meV per atom. As for the total energy: -4.430 eV/atom.

Lattice parameters (Å, degrees): 4.3815 4.3815 5.4592 90.00 90.00 90.00
Last column: nearest neighbours and their distance in Å.
Space group P4/mmm (No. 123)
Asymmetric unit:
Y: 0.0000 0.0000 0.0000 [1 per cell]  2 Zn 2.73
Zn: 0.0000 0.0000 0.5000 [1 per cell]  4 Ni 2.19
Ga: 0.5000 0.5000 0.2460 [2 per cell]  4 Ni 2.59, 2 Ga 2.69-2.77
Ni: 0.0000 0.5000 0.5000 [2 per cell]  2 Zn 2.19

***

5.
Crystalline Y3Zn2GaNi9 at its relaxed geometry, computed with PBE-GGA.

As for the formation energy: -110 meV per atom. As for the total energy: -5.243 eV/atom.

Lattice parameters (Å, degrees): 5.1447 5.1447 11.3640 90.00 90.00 120.00
Last column: nearest neighbours and their distance in Å.
Space group P-3m1 (No. 164)
Asymmetric unit:
Y: 0.0000 0.0000 0.0000 [1 per cell]  6 Ni 2.57
Y: 0.3333 0.6667 0.7640 [2 per cell]  9 Ni 2.83-3.07, 3 Zn 3.07
Zn: 0.3333 0.6667 0.1682 [2 per cell]  6 Ni 2.42-2.43
Ga: 0.0000 0.0000 0.5000 [1 per cell]  6 Ni 2.37
Ni: 0.0000 0.5000 0.0000 [3 per cell]  2 Zn 2.42, 4 Ni 2.57, 2 Y 2.57
Ni: 0.1715 0.3430 0.3406 [6 per cell]  1 Ga 2.37, 1 Zn 2.43, 4 Ni 2.50-2.65

***

6.
Crystalline Y2ZnGa2Ni5 at its relaxed geometry, computed with PBE-GGA.

As for the formation energy: -317 meV per atom. As for the total energy: -5.233 eV/atom.

Lattice parameters (Å, degrees): 9.6087 9.6087 3.3700 90.00 90.00 90.00
Last column: nearest neighbours and their distance in Å.
Space group P4/mbm (No. 127)
Asymmetric unit:
Y: 0.1760 0.3240 0.0000 [4 per cell]  3 Ga 2.74-2.91, 6 Ni 2.93-3.03
Zn: 0.0000 0.0000 0.0000 [2 per cell]  8 Ni 2.61
Ga: 0.1226 0.6226 0.0000 [4 per cell]  6 Ni 2.37-2.48
Ni: 0.0000 0.5000 0.5000 [2 per cell]  4 Ga 2.37
Ni: 0.0550 0.7993 0.5000 [8 per cell]  2 Ga 2.48, 2 Zn 2.61

***

7.
Crystalline YZnGa2Ni at its relaxed geometry, computed with PBE-GGA.

As for the formation energy: -486 meV per atom. As for the total energy: -4.401 eV/atom.

Lattice parameters (Å, degrees): 4.1059 4.1059 10.3512 90.00 90.00 90.00
Last column: nearest neighbours and their distance in Å.
Space group I-4m2 (No. 119)
Asymmetric unit:
Y: 0.0000 0.0000 0.0000 [2 per cell]  8 Ga 3.16, 4 Ni 3.30, 4 Zn 3.30
Zn: 0.0000 0.5000 0.7500 [2 per cell]  4 Ga 2.45
Ga: 0.0000 0.0000 0.3799 [4 per cell]  2 Ni 2.45, 2 Zn 2.45, 1 Ga 2.49
Ni: 0.0000 0.5000 0.2500 [2 per cell]  4 Ga 2.45

***

8.
Crystalline YZnGa4Ni2 at its relaxed geometry, computed with PBE-GGA.

As for the formation energy: -342 meV per atom. As for the total energy: -4.268 eV/atom.

Lattice parameters (Å, degrees): 4.1435 4.1435 26.2595 90.00 90.00 120.00
Last column: nearest neighbours and their distance in Å.
Space group R-3m (No. 166, hexagonal axes)
Asymmetric unit:
Y: 0.0000 0.0000 0.0000 [3 per cell]  8 Ga 2.95-3.22
Zn: 0.0000 0.0000 0.5000 [3 per cell]  8 Ga 2.65-2.66, 6 Ni 2.95
Ga: 0.0000 0.0000 0.1224 [6 per cell]  3 Ni 2.46, 3 Zn 2.66
Ga: 0.0000 0.0000 0.3992 [6 per cell]  3 Ni 2.56, 1 Zn 2.65, 3 Ga 2.82
Ni: 0.0000 0.0000 0.2322 [6 per cell]  6 Ga 2.46-2.56

***

9.
Crystalline Y2ZnGa3Ni4 at its relaxed geometry, computed with PBE-GGA.

As for the formation energy: -526 meV per atom. As for the total energy: -5.167 eV/atom.

Lattice parameters (Å, degrees): 4.0250 4.0250 10.1277 90.00 90.00 90.00
Last column: nearest neighbours and their distance in Å.
Space group P-4m2 (No. 115)
Asymmetric unit:
Y: 0.0000 0.5000 0.2477 [2 per cell]  8 Ni 3.07-3.22, 6 Ga 3.10-3.25, 2 Zn 3.25
Zn: 0.0000 0.0000 0.5000 [1 per cell]  4 Ni 2.45
Ga: 0.0000 0.5000 0.8724 [2 per cell]  5 Ni 2.37-2.39
Ga: 0.5000 0.5000 0.5000 [1 per cell]  4 Ni 2.45
Ni: 0.0000 0.0000 0.0000 [1 per cell]  4 Ga 2.39
Ni: 0.0000 0.5000 0.6381 [2 per cell]  3 Ga 2.37-2.45, 2 Zn 2.45
Ni: 0.5000 0.5000 0.0000 [1 per cell]  4 Ga 2.39

***

10.
Crystalline Yb2GaNi2 at its relaxed geometry, computed with PBE-GGA.

As for the formation energy: -523 meV per atom. As for the total energy: -4.051 eV/atom.

Lattice parameters (Å, degrees): 10.0136 4.0461 5.3122 90.00 121.95 90.00
Last column: nearest neighbours and their distance in Å.
Space group C2/m (No. 12)
Asymmetric unit:
Yb: 0.1978 0.0000 0.1978 [4 per cell]  6 Ni 2.91-2.93, 2 Ga 3.14-3.15
Ga: 0.0000 0.0000 0.5000 [2 per cell]  4 Ni 2.45
Ni: 0.0000 0.5000 0.2409 [4 per cell]  2 Ga 2.45, 1 Ni 2.56

***

11.
Crystalline YbGaNi at its relaxed geometry, computed with PBE-GGA.

As for the formation energy: -541 meV per atom. As for the total energy: -3.986 eV/atom.

Lattice parameters (Å, degrees): 6.8535 4.2257 7.5078 90.00 90.00 90.00
Last column: nearest neighbours and their distance in Å.
Space group Pnma (No. 62)
Asymmetric unit:
Yb: 0.0187 0.2500 0.1865 [4 per cell]  5 Ni 2.90-3.05, 6 Ga 3.05-3.16
Ga: 0.1625 0.2500 0.5709 [4 per cell]  4 Ni 2.53-2.56
Ni: 0.2085 0.7500 0.3906 [4 per cell]  4 Ga 2.53-2.56

***

12.
Crystalline ZnGa2Ni5 at its relaxed geometry, computed with PBE-GGA.

As for the formation energy: -269 meV per atom. As for the total energy: -4.798 eV/atom.

Lattice parameters (Å, degrees): 4.2036 4.2036 10.7861 90.00 90.00 90.00
Last column: nearest neighbours and their distance in Å.
Space group I4/mmm (No. 139)
Asymmetric unit:
Zn: 0.0000 0.0000 0.0000 [2 per cell]  8 Ni 2.50, 2 Ga 2.77
Ga: 0.0000 0.0000 0.2566 [4 per cell]  9 Ni 2.46-2.63
Ni: 0.0000 0.0000 0.5000 [2 per cell]  8 Ni 2.50, 2 Ga 2.63
Ni: 0.0000 0.5000 0.1251 [8 per cell]  4 Ga 2.46-2.54, 4 Ni 2.50-2.70, 2 Zn 2.50

***

13.
Crystalline ZnGaNi2 at its relaxed geometry, computed with PBE-GGA.

As for the formation energy: 257 meV per atom. As for the total energy: -3.709 eV/atom.

Lattice parameters (Å, degrees): 2.5953 4.4552 9.6069 90.00 90.00 90.00
Last column: nearest neighbours and their distance in Å.
Space group Immm (No. 71)
Asymmetric unit:
Zn: 0.0000 0.0000 0.0000 [2 per cell]  2 Ni 2.44, 4 Ga 2.58, 2 Zn 2.60
Ga: 0.0000 0.0000 0.5000 [2 per cell]  2 Ni 2.36, 4 Zn 2.58, 2 Ga 2.60
Ni: 0.0000 0.0000 0.2538 [4 per cell]  1 Ga 2.36, 1 Zn 2.44, 6 Ni 2.58-2.60

***

14.
Crystalline Zn3Ga2Ni7 at its relaxed geometry, computed with PBE-GGA.

As for the formation energy: -129 meV per atom. As for the total energy: -4.325 eV/atom.

Lattice parameters (Å, degrees): 4.0279 19.4681 4.0189 90.00 90.00 90.00
Last column: nearest neighbours and their distance in Å.
Space group Cmmm (No. 65)
Asymmetric unit:
Zn: 0.0000 0.0000 0.0000 [2 per cell]  8 Ni 2.46-2.51
Zn: 0.0000 0.1526 0.0000 [4 per cell]  6 Ni 2.39-2.54
Ga: 0.0000 0.3490 0.5000 [4 per cell]  7 Ni 2.42-2.52
Ni: 0.0000 0.0772 0.5000 [4 per cell]  2 Ga 2.47, 4 Zn 2.49-2.51, 2 Ni 2.51
Ni: 0.0000 0.2195 0.5000 [4 per cell]  2 Ni 2.34, 2 Zn 2.39, 3 Ga 2.42-2.52
Ni: 0.0000 0.4273 0.0000 [4 per cell]  2 Ni 2.46, 4 Zn 2.46-2.54, 2 Ga 2.52
Ni: 0.0000 0.5000 0.5000 [2 per cell]  8 Ni 2.46-2.51

***

15.
Crystalline ZnGaNi4 at its relaxed geometry, computed with PBE-GGA.

As for the formation energy: 123 meV per atom. As for the total energy: -4.448 eV/atom.

Lattice parameters (Å, degrees): 6.8314 3.9311 6.5624 90.00 110.35 90.00
Last column: nearest neighbours and their distance in Å.
Space group C2/m (No. 12)
Asymmetric unit:
Zn: 0.0000 0.0000 0.0000 [2 per cell]  8 Ni 2.37-2.39
Ga: 0.0000 0.5000 0.5000 [2 per cell]  8 Ni 2.35-2.38
Ni: 0.1279 0.5000 0.8823 [4 per cell]  1 Ga 2.35, 3 Zn 2.39
Ni: 0.1289 0.0000 0.3859 [4 per cell]  1 Zn 2.37, 3 Ga 2.38

***

16.
Crystalline Zn2GaNi at its relaxed geometry, computed with PBE-GGA.

As for the formation energy: -60 meV per atom. As for the total energy: -2.899 eV/atom.

Lattice parameters (Å, degrees): 4.1286 4.1286 12.2571 90.00 90.00 120.00
Last column: nearest neighbours and their distance in Å.
Space group R3m (No. 160, hexagonal axes)
Asymmetric unit:
Zn: 0.0000 0.0000 0.0000 [3 per cell]  3 Ni 2.42, 1 Zn 2.69, 3 Ga 2.70
Zn: 0.0000 0.0000 0.2196 [3 per cell]  3 Ni 2.58, 4 Ga 2.66-2.78, 4 Zn 2.69-2.76
Ga: 0.0000 0.0000 0.4366 [3 per cell]  1 Ni 2.42, 4 Zn 2.66-2.70
Ni: 0.0000 0.0000 0.6338 [3 per cell]  1 Ga 2.42, 6 Zn 2.42-2.58

***

17.
Crystalline Zn2GaNi4 at its relaxed geometry, computed with PBE-GGA.

As for the formation energy: -73 meV per atom. As for the total energy: -4.173 eV/atom.

Lattice parameters (Å, degrees): 5.7126 5.7126 5.5941 90.00 90.00 90.00
Last column: nearest neighbours and their distance in Å.
Space group I4/mmm (No. 139)
Asymmetric unit:
Zn: 0.0000 0.5000 0.0000 [4 per cell]  8 Ni 2.46
Ga: 0.0000 0.0000 0.0000 [2 per cell]  8 Ni 2.46
Ni: 0.2500 0.2500 0.2500 [8 per cell]  4 Zn 2.46, 2 Ga 2.46

***

18.
Crystalline Zn4GaNi at its relaxed geometry, computed with PBE-GGA.

As for the formation energy: 20 meV per atom. As for the total energy: -2.297 eV/atom.

Lattice parameters (Å, degrees): 4.7841 4.8973 8.3426 90.00 90.00 90.00
Last column: nearest neighbours and their distance in Å.
Space group P222 (No. 16)
Asymmetric unit:
Zn: 0.2179 0.1540 0.2156 [4 per cell]  1 Ni 2.37, 3 Zn 2.52-2.63
Zn: 0.2455 0.3700 0.6716 [4 per cell]  5 Zn 2.52-2.75, 1 Ni 2.59, 1 Ga 2.61
Ga: 0.5000 0.0000 0.5000 [1 per cell]  2 Ni 2.39, 4 Zn 2.61
Ga: 0.5000 0.5000 0.0000 [1 per cell]  2 Ni 2.45
Ni: 0.0000 0.0000 0.5000 [1 per cell]  2 Ga 2.39, 4 Zn 2.59
Ni: 0.5000 0.0000 0.0000 [1 per cell]  4 Zn 2.37, 2 Ga 2.45

***

19.
Crystalline Zn2GaNi2 at its relaxed geometry, computed with PBE-GGA.

As for the formation energy: -8 meV per atom. As for the total energy: -3.435 eV/atom.

Lattice parameters (Å, degrees): 3.3838 3.3838 12.2860 90.00 90.00 90.00
Last column: nearest neighbours and their distance in Å.
Space group I4/mmm (No. 139)
Asymmetric unit:
Zn: 0.0000 0.5000 0.2500 [4 per cell]  4 Zn 2.39, 4 Ni 2.55
Ga: 0.0000 0.0000 0.0000 [2 per cell]  8 Ni 2.66
Ni: 0.0000 0.0000 0.4050 [4 per cell]  1 Ni 2.33, 4 Zn 2.55

***

20.
Crystalline Zn2Ga2Ni3 at its relaxed geometry, computed with PBE-GGA.

As for the formation energy: -311 meV per atom. As for the total energy: -4.017 eV/atom.

Lattice parameters (Å, degrees): 7.0506 4.0760 6.9290 90.00 109.92 90.00
Last column: nearest neighbours and their distance in Å.
Space group C2/m (No. 12)
Asymmetric unit:
Zn: 0.1326 0.0000 0.3971 [4 per cell]  5 Ni 2.50-2.62, 3 Zn 2.71
Ga: 0.1124 0.5000 0.8376 [4 per cell]  7 Ni 2.38-2.58
Ni: 0.0000 0.0000 0.0000 [2 per cell]  6 Ga 2.58, 2 Zn 2.59, 6 Ni 2.75
Ni: 0.2398 0.5000 0.2196 [4 per cell]  4 Ga 2.38-2.49, 4 Zn 2.50-2.62

***

21.
Crystalline ZnGa3Ni4 at its relaxed geometry, computed with PBE-GGA.

As for the formation energy: -353 meV per atom. As for the total energy: -4.538 eV/atom.

Lattice parameters (Å, degrees): 4.0637 4.0637 5.9684 90.00 90.00 90.00
Last column: nearest neighbours and their distance in Å.
Space group P4/mmm (No. 123)
Asymmetric unit:
Zn: 0.0000 0.0000 0.0000 [1 per cell]  8 Ni 2.54
Ga: 0.0000 0.0000 0.5000 [1 per cell]  8 Ni 2.51
Ga: 0.5000 0.5000 0.0000 [1 per cell]  8 Ni 2.54
Ga: 0.5000 0.5000 0.5000 [1 per cell]  8 Ni 2.51
Ni: 0.0000 0.5000 0.2542 [4 per cell]  6 Ga 2.51-2.54, 2 Zn 2.54

***

22.
Crystalline ZnGa2Ni at its relaxed geometry, computed with PBE-GGA.

As for the formation energy: -86 meV per atom. As for the total energy: -3.363 eV/atom.

Lattice parameters (Å, degrees): 3.3256 3.3256 5.2340 90.00 90.00 90.00
Last column: nearest neighbours and their distance in Å.
Space group P4/mmm (No. 123)
Asymmetric unit:
Zn: 0.0000 0.0000 0.0000 [1 per cell]  2 Ni 2.62, 8 Ga 2.72
Ga: 0.5000 0.5000 0.2624 [2 per cell]  2 Ga 2.49-2.75, 4 Ni 2.66, 4 Zn 2.72
Ni: 0.0000 0.0000 0.5000 [1 per cell]  2 Zn 2.62, 8 Ga 2.66

***

23.
Crystalline ZnGa2Ni2 at its relaxed geometry, computed with PBE-GGA.

As for the formation energy: -229 meV per atom. As for the total energy: -4.007 eV/atom.

Lattice parameters (Å, degrees): 6.8637 6.8637 2.8333 90.00 90.00 90.00
Last column: nearest neighbours and their distance in Å.
Space group P4/mbm (No. 127)
Asymmetric unit:
Zn: 0.0000 0.0000 0.0000 [2 per cell]  4 Ga 2.65, 2 Zn 2.83, 8 Ni 2.95
Ga: 0.1399 0.3601 0.0000 [4 per cell]  6 Ni 2.43-2.49, 2 Zn 2.65, 1 Ga 2.72
Ni: 0.1572 0.6572 0.5000 [4 per cell]  6 Ga 2.43-2.49